The following is a DFT calculation (GGA-PBE) of a geometry-optimized ErNbIn structure.

- E: -4.9099 eV/atom

a = 6.984 Å, b = 6.984 Å, c = 6.984 Å
α = 90.00°, β = 90.00°, γ = 90.00°
Fractional coordinates of all 12 atoms:
Er1 0.000 0.000 0.000
Er2 0.000 0.500 0.500
Er3 0.500 0.000 0.500
Er4 0.500 0.500 0.000
Nb1 0.250 0.250 0.250
Nb2 0.250 0.750 0.750
Nb3 0.750 0.250 0.750
Nb4 0.750 0.750 0.250
In1 0.250 0.250 0.750
In2 0.250 0.750 0.250
In3 0.750 0.250 0.250
In4 0.750 0.750 0.750

=====

The following is a DFT calculation (GGA-PBE) of a geometry-optimized ErNbIn structure.

- E: -5.1760 eV/atom

a = 6.915 Å, b = 6.915 Å, c = 6.915 Å
α = 90.00°, β = 90.00°, γ = 90.00°
Fractional coordinates of all 12 atoms:
Er1 0.000 0.000 0.000
Er2 0.000 0.500 0.500
Er3 0.500 0.000 0.500
Er4 0.500 0.500 0.000
Nb1 0.250 0.250 0.250
Nb2 0.250 0.750 0.750
Nb3 0.750 0.250 0.750
Nb4 0.750 0.750 0.250
In1 0.000 0.000 0.500
In2 0.000 0.500 0.000
In3 0.500 0.000 0.000
In4 0.500 0.500 0.500

=====

The following is a DFT calculation (GGA-PBE) of a geometry-optimized NdErIn structure.

- E: -4.1121 eV/atom

a = 7.406 Å, b = 7.406 Å, c = 7.406 Å
α = 90.00°, β = 90.00°, γ = 90.00°
Fractional coordinates of all 12 atoms:
Nd1 0.000 0.000 0.000
Nd2 0.000 0.500 0.500
Nd3 0.500 0.000 0.500
Nd4 0.500 0.500 0.000
Er1 0.000 0.000 0.500
Er2 0.000 0.500 0.000
Er3 0.500 0.000 0.000
Er4 0.500 0.500 0.500
In1 0.250 0.250 0.750
In2 0.250 0.750 0.250
In3 0.750 0.250 0.250
In4 0.750 0.750 0.750

=====

The following is a DFT calculation (GGA-PBE) of a geometry-optimized NdErInNi2 structure.

- E: -5.1353 eV/atom

a = 3.694 Å, b = 3.950 Å, c = 14.362 Å
α = 90.00°, β = 90.00°, γ = 90.00°
Fractional coordinates of all 10 atoms:
Nd1 0.000 0.000 0.000
Nd2 0.000 0.500 0.500
Er1 0.000 0.000 0.725
Er2 0.000 0.500 0.225
In1 0.500 0.000 0.359
In2 0.500 0.500 0.859
Ni1 0.500 0.000 0.168
Ni2 0.500 0.000 0.568
Ni3 0.500 0.500 0.068
Ni4 0.500 0.500 0.668

=====

The following is a DFT calculation (GGA-PBE) of a geometry-optimized NdErIn2Pd4 structure.

- E: -5.2435 eV/atom

a = 4.614 Å, b = 4.614 Å, c = 9.019 Å
α = 90.00°, β = 90.00°, γ = 120.00°
Fractional coordinates of all 8 atoms:
Nd1 0.000 0.000 0.000
Er1 0.333 0.667 0.500
In1 0.667 0.333 0.258
In2 0.667 0.333 0.742
Pd1 0.000 0.000 0.341
Pd2 0.000 0.000 0.659
Pd3 0.333 0.667 0.172
Pd4 0.333 0.667 0.828

=====

The following is a DFT calculation (GGA-PBE) of a geometry-optimized ErInNi structure.

- E: -4.5667 eV/atom

a = 6.876 Å, b = 6.876 Å, c = 4.499 Å
α = 90.00°, β = 90.00°, γ = 120.00°
Fractional coordinates of all 9 atoms:
Er1 0.000 0.553 0.000
Er2 0.447 0.447 0.000
Er3 0.553 0.000 0.000
In1 0.000 0.000 0.000
In2 0.333 0.667 0.500
In3 0.667 0.333 0.500
Ni1 0.000 0.226 0.500
Ni2 0.226 0.000 0.500
Ni3 0.774 0.774 0.500

=====

The following is a DFT calculation (GGA-PBE) of a geometry-optimized ErIn2Ni9 structure.

- E: -5.2424 eV/atom

a = 8.212 Å, b = 8.212 Å, c = 4.804 Å
α = 90.00°, β = 90.00°, γ = 90.00°
Fractional coordinates of all 24 atoms:
Er1 0.000 0.000 0.000
Er2 0.500 0.500 0.000
In1 0.125 0.375 0.000
In2 0.375 0.875 0.000
In3 0.625 0.125 0.000
In4 0.875 0.625 0.000
Ni1 0.000 0.500 0.500
Ni2 0.063 0.205 0.500
Ni3 0.177 0.677 0.248
Ni4 0.177 0.677 0.752
Ni5 0.205 0.937 0.500
Ni6 0.295 0.437 0.500
Ni7 0.323 0.177 0.248
Ni8 0.323 0.177 0.752
Ni9 0.437 0.705 0.500
Ni10 0.500 0.000 0.500
Ni11 0.563 0.295 0.500
Ni12 0.677 0.823 0.248
Ni13 0.677 0.823 0.752
Ni14 0.705 0.563 0.500
Ni15 0.795 0.063 0.500
Ni16 0.823 0.323 0.248
Ni17 0.823 0.323 0.752
Ni18 0.937 0.795 0.500

=====

The following is a DFT calculation (GGA-PBE) of a geometry-optimized Er6InNi2 structure.

- E: -4.9510 eV/atom

a = 8.321 Å, b = 8.321 Å, c = 8.321 Å
α = 112.64°, β = 109.65°, γ = 106.19°
Fractional coordinates of all 18 atoms:
Er1 0.029 0.234 0.795
Er2 0.184 0.291 0.475
Er3 0.184 0.709 0.893
Er4 0.324 0.018 0.694
Er5 0.324 0.631 0.306
Er6 0.439 0.234 0.205
Er7 0.561 0.766 0.795
Er8 0.676 0.369 0.694
Er9 0.676 0.982 0.306
Er10 0.816 0.291 0.107
Er11 0.816 0.709 0.525
Er12 0.971 0.766 0.205
In1 0.000 0.000 0.000
In2 0.500 0.500 0.000
Ni1 0.123 0.623 0.500
Ni2 0.353 0.000 0.353
Ni3 0.647 0.000 0.647
Ni4 0.877 0.377 0.500

=====

The following is a DFT calculation (GGA-PBE) of a geometry-optimized ErInNi structure.

- E: -4.2746 eV/atom

a = 8.237 Å, b = 8.237 Å, c = 3.171 Å
α = 90.00°, β = 90.00°, γ = 120.00°
Fractional coordinates of all 9 atoms:
Er1 0.000 0.302 0.000
Er2 0.302 0.000 0.000
Er3 0.698 0.698 0.000
In1 0.000 0.000 0.500
In2 0.333 0.667 0.000
In3 0.667 0.333 0.000
Ni1 0.000 0.633 0.500
Ni2 0.367 0.367 0.500
Ni3 0.633 0.000 0.500

=====

The following is a DFT calculation (GGA-PBE) of a geometry-optimized ErInNi structure.

- E: -4.6493 eV/atom

a = 6.420 Å, b = 6.420 Å, c = 6.420 Å
α = 90.00°, β = 90.00°, γ = 90.00°
Fractional coordinates of all 12 atoms:
Er1 0.000 0.000 0.000
Er2 0.000 0.500 0.500
Er3 0.500 0.000 0.500
Er4 0.500 0.500 0.000
In1 0.000 0.000 0.500
In2 0.000 0.500 0.000
In3 0.500 0.000 0.000
In4 0.500 0.500 0.500
Ni1 0.250 0.250 0.250
Ni2 0.250 0.750 0.750
Ni3 0.750 0.250 0.750
Ni4 0.750 0.750 0.250

=====

The following is a DFT calculation (GGA-PBE) of a geometry-optimized Er5In4Ni2 structure.

- E: -4.6114 eV/atom

a = 7.921 Å, b = 17.790 Å, c = 3.583 Å
α = 90.00°, β = 90.00°, γ = 90.00°
Fractional coordinates of all 22 atoms:
Er1 0.000 0.000 0.000
Er2 0.115 0.412 0.000
Er3 0.245 0.222 0.000
Er4 0.255 0.722 0.000
Er5 0.385 0.912 0.000
Er6 0.500 0.500 0.000
Er7 0.615 0.088 0.000
Er8 0.745 0.278 0.000
Er9 0.755 0.778 0.000
Er10 0.885 0.588 0.000
In1 0.073 0.849 0.500
In2 0.207 0.569 0.500
In3 0.293 0.069 0.500
In4 0.427 0.349 0.500
In5 0.573 0.651 0.500
In6 0.707 0.931 0.500
In7 0.793 0.431 0.500
In8 0.927 0.151 0.500
Ni1 0.024 0.304 0.500
Ni2 0.476 0.804 0.500
Ni3 0.524 0.196 0.500
Ni4 0.976 0.696 0.500

=====

The following is a DFT calculation (GGA-PBE) of a geometry-optimized Er12InNi6 structure.

- E: -5.1756 eV/atom

a = 8.309 Å, b = 8.309 Å, c = 8.309 Å
α = 109.47°, β = 109.47°, γ = 109.47°
Fractional coordinates of all 19 atoms:
Er1 0.115 0.812 0.302
Er2 0.188 0.302 0.490
Er3 0.188 0.698 0.885
Er4 0.302 0.115 0.812
Er5 0.302 0.490 0.188
Er6 0.490 0.188 0.302
Er7 0.510 0.812 0.698
Er8 0.698 0.510 0.812
Er9 0.698 0.885 0.188
Er10 0.812 0.302 0.115
Er11 0.812 0.698 0.510
Er12 0.885 0.188 0.698
In1 0.000 0.000 0.000
Ni1 0.124 0.624 0.500
Ni2 0.376 0.500 0.876
Ni3 0.500 0.124 0.624
Ni4 0.500 0.876 0.376
Ni5 0.624 0.500 0.124
Ni6 0.876 0.376 0.500